Density functional theory data (PBE) for a relaxed LiNiSb crystal.

## Properties
**Density of states at the Fermi level**: 0.44 states/eV per atom
**Calculated volume**: 15.5 Å³ per atom
**ΔE_f (raw)**: -0.2487 eV/atom
**Uncorrected energy**: -0.154 hartree per atom
**Space group**: No. 107

The structure in POSCAR format:
```
LiNiSb
1.0
-0.3357 2.4849 2.3081
-2.2149 -1.9170 1.7417
4.2929 -1.8448 0.0945
Sb Ni Li
1 1 1
direct
0.9422 0.9422 0.8843
0.2885 0.2885 0.5771
0.6193 0.6193 0.2386
```